Below is CdInAgTe3 after structural relaxation, with properties calculated at the GGA-PBE level.

abc: 15.375 4.646 6.580
angles: 90.00 115.32 90.00
Space group Cm (No. 8)
Unique sites:
Cd (0.000, 0.000, 0.000)
In (0.171, 0.500, 0.658)
Ag (0.335, 0.000, 0.345)
Te (0.172, 0.000, 0.923)
Te (0.336, 0.500, 0.579)
Te (0.499, 0.000, 0.254)

Properties
VASP energy, eV/atom: -2.989
Magnetization, Bohr magnetons per cell: 0.00
ΔE_f (raw), eV/atom: -0.33